## i
This record from Alexandria via LeMat-Bulk describes a geometry-optimized CsRbSbI2 structure. The functional is PBE.

Geometry as POSCAR:
```
CsRbSbI2
1.0
7.177 0.000 0.000
0.000 7.177 0.000
0.000 0.000 6.586
Cs Rb Sb I
1 1 1 2
Direct
0.000 0.000 0.000 Cs
0.500 0.500 0.500 Rb
0.000 0.000 0.500 Sb
0.000 0.500 0.000 I
0.500 0.000 0.000 I
```

Values from the calculation:
Space group ... P4/mmm, No. 123
ρ ... 2.9 g/cm³

---

## ii
This record from Alexandria via LeMat-Bulk describes a geometry-optimized CsRbSbI2 structure. The functional is PBE.

Geometry as POSCAR:
```
CsRbSbI2
1.0
6.980 0.000 0.000
0.000 6.980 0.000
0.000 0.000 6.885
Cs Rb Sb I
1 1 1 2
Direct
0.000 0.000 0.000 Cs
0.500 0.500 0.500 Rb
0.500 0.500 0.000 Sb
0.000 0.500 0.500 I
0.500 0.000 0.500 I
```

Values from the calculation:
Space group ... P4/mmm, No. 123
ρ ... 2.9 g/cm³

---

Of them, i has the lowest stability.

---

## i
This record from Alexandria via LeMat-Bulk describes a geometry-optimized CsRbSb2I structure. The functional is PBE.

Geometry as POSCAR:
```
CsRbSb2I
1.0
6.673 0.000 0.000
0.000 6.673 0.000
0.000 0.000 7.181
Cs Rb Sb I
1 1 2 1
Direct
0.000 0.000 0.000 Cs
0.500 0.500 0.500 Rb
0.000 0.500 0.000 Sb
0.500 0.000 0.000 Sb
0.000 0.000 0.500 I
```

Values from the calculation:
Space group ... P4/mmm, No. 123
ρ ... 3.1 g/cm³

---

## ii
This record from Alexandria via LeMat-Bulk describes a geometry-optimized CsRbSb2I structure. The functional is PBE.

Geometry as POSCAR:
```
CsRbSb2I
1.0
7.026 0.000 0.000
0.000 7.026 0.000
0.000 0.000 6.930
Cs Rb Sb I
1 1 2 1
Direct
0.000 0.000 0.000 Cs
0.500 0.500 0.500 Rb
0.000 0.500 0.500 Sb
0.500 0.000 0.500 Sb
0.500 0.500 0.000 I
```

Values from the calculation:
Space group ... P4/mmm, No. 123
ρ ... 2.9 g/cm³

---

Of them, i has the lowest stability.

---

## i
This record from Alexandria via LeMat-Bulk describes a geometry-optimized Cs2RbSbI6 structure. The functional is PBE.

Geometry as POSCAR:
```
Cs2RbSbI6
1.0
8.877 0.000 0.000
0.000 9.403 0.000
-8.800 0.000 12.809
Cs Rb Sb I
4 2 2 12
Direct
0.220 0.078 0.248 Cs
0.220 0.422 0.748 Cs
0.780 0.578 0.252 Cs
0.780 0.922 0.752 Cs
0.500 0.000 0.000 Rb
0.500 0.500 0.500 Rb
0.000 0.000 0.500 Sb
0.000 0.500 0.000 Sb
0.115 0.225 0.946 I
0.115 0.275 0.446 I
0.232 0.676 0.950 I
0.232 0.824 0.450 I
0.328 0.027 0.726 I
0.328 0.473 0.226 I
0.672 0.527 0.774 I
0.672 0.973 0.274 I
0.768 0.176 0.550 I
0.768 0.324 0.050 I
0.885 0.725 0.554 I
0.885 0.775 0.054 I
```

Values from the calculation:
Space group ... P2_1/c, No. 14
ρ ... 3.8 g/cm³

---

## ii
This record from Alexandria via LeMat-Bulk describes a geometry-optimized Cs2RbSbI6 structure. The functional is PBE.

Geometry as POSCAR:
```
Cs2RbSbI6
1.0
0.000 6.515 6.515
6.515 0.000 6.515
6.515 6.515 0.000
Cs Rb Sb I
2 1 1 6
Direct
0.250 0.250 0.250 Cs
0.750 0.750 0.750 Cs
0.000 0.000 0.000 Rb
0.500 0.500 0.500 Sb
0.268 0.268 0.732 I
0.268 0.732 0.268 I
0.268 0.732 0.732 I
0.732 0.268 0.268 I
0.732 0.268 0.732 I
0.732 0.732 0.268 I
```

Values from the calculation:
Space group ... Fm-3m, No. 225
ρ ... 3.7 g/cm³

---

Of them, ii has the lowest stability.